Entry 1:
Cd2RePb, optimized geometry, DFT PBE; size of the total moment = 0.14 μB per cell; formation energy from the elements = 0.789 eV/atom; SG = C2/m
1.0
2.867 -4.892 0.000
2.867 4.892 0.000
-0.654 0.000 2.965
Cd Re Pb
2 1 1
Direct
0.000 0.500 0.000 Cd
0.500 0.000 0.000 Cd
0.000 0.000 0.500 Re
0.500 0.500 0.500 Pb

---

Entry 2:
Ga3IrSe, optimized geometry, DFT PBE; E_form (uncorrected) = -186.3 meV/atom; size of the total moment = 0.00 μB per cell; distance to the lowest polymorph of the same formula = 0.00 eV/f.u.; SG = Pm-3m
1.0
4.828 0.000 0.000
0.000 4.828 0.000
0.000 0.000 4.828
Ga Ir Se
3 1 1
Direct
0.000 0.000 0.500 Ga
0.000 0.500 0.000 Ga
0.500 0.000 0.000 Ga
0.000 0.000 0.000 Ir
0.500 0.500 0.500 Se

---

Question: Which of these has the lowest size of the total moment?
Answer: Ga3IrSe